Record 1
Compound: HfGeF2
Source: the Alexandria database
Functional: GGA-PBE
Structure: optimized geometry

a b c (Å): 4.294 4.294 4.294
angles (deg): 60.00 60.00 60.00
Sites, in units of the cell vectors:
Hf (0.000, 0.000, 0.000)
Ge (0.500, 0.500, 0.500)
F (0.250, 0.250, 0.250)
F (0.750, 0.750, 0.750)

Summary:
The uncorrected formation energy is -1.070 eV/atom. The uncorrected energy is -5.65 eV/atom. As for the distance to the lowest polymorph of the same formula: 2.99 eV per formula unit. As for the density of states at the Fermi level: 3.2 states/eV/f.u.



Record 2
Compound: Na2Cd2Ga
Source: the Alexandria database
Functional: GGA-PBE
Structure: optimized geometry

a b c (Å): 7.294 7.294 4.933
angles (deg): 90.00 90.00 90.00
Sites, in units of the cell vectors:
Na (0.171, 0.329, 0.000)
Na (0.329, 0.829, 0.000)
Na (0.671, 0.171, 0.000)
Na (0.829, 0.671, 0.000)
Cd (0.141, 0.641, 0.500)
Cd (0.359, 0.141, 0.500)
Cd (0.641, 0.859, 0.500)
Cd (0.859, 0.359, 0.500)
Ga (0.000, 0.000, 0.500)
Ga (0.500, 0.500, 0.500)

Summary:
For the formation energy, the calculation gives -0.03 eV/atom. The uncorrected energy is -1.53 eV/atom. As for the distance to the lowest polymorph of the same formula: 0.20 eV per formula unit. As for the density of states at the Fermi level: 3.8 states/eV/f.u.